Below is a relaxed BeAs2Br crystal, with properties calculated at the PBE level.

Properties
* calculated total energy: -15.04 eV/cell
* energy relative to the elements, uncorrected: -0.084 eV/atom
* polymorph energy (0 for the lowest one): 0 meV per atom

```
BeAs2Br
1.0
-2.986 -1.753 0.371
2.085 -3.219 1.577
0.316 1.102 7.759
As Be Br
2 1 1
Cartesian
1.924 -2.714 2.664
-0.891 -1.431 2.412
1.699 -1.890 4.748
-0.031 -2.111 6.126
```